[1]
DFT (PBE) results for an optimized crystal structure of FeMo3.

Unit cell a=5.4445 b=5.4445 c=4.6317 alpha=90.00 beta=90.00 gamma=120.00
With the nearest neighbours (Å) after each atom.
Element x y z (fractional)
Fe: 0.6667 0.3333 0.2500  12 Mo 2.72-2.80
Fe: 0.3333 0.6667 0.7500  12 Mo 2.72-2.80
Mo: 0.1662 0.3324 0.2500  8 Mo 2.71-2.80, 4 Fe 2.72-2.80
Mo: 0.1662 0.8338 0.2500  8 Mo 2.71-2.80, 4 Fe 2.72-2.80
Mo: 0.6676 0.8338 0.2500  8 Mo 2.71-2.80, 4 Fe 2.72-2.80
Mo: 0.3324 0.1662 0.7500  8 Mo 2.71-2.80, 4 Fe 2.72-2.80
Mo: 0.8338 0.1662 0.7500  8 Mo 2.71-2.80, 4 Fe 2.72-2.80
Mo: 0.8338 0.6676 0.7500  8 Mo 2.71-2.80, 4 Fe 2.72-2.80

Summary:
As for the formation enthalpy at 0 K: 327.7 meV per atom. The final energy is -79.08 eV for the cell shown. Its space-group type is P6_3/mmc (194). As for the crystal system: hexagonal.


[2]
DFT (PBE) results for an optimized crystal structure of Fe3Mo.

Unit cell a=4.5157 b=4.5157 c=4.5157 alpha=132.97 beta=132.97 gamma=68.70
With the nearest neighbours (Å) after each atom.
Element x y z (fractional)
Fe: 0.5000 0.5000 0.0000  4 Mo 2.55, 8 Fe 2.59
Fe: 0.7500 0.2500 0.5000  8 Fe 2.55-2.59, 4 Mo 2.59
Fe: 0.2500 0.7500 0.5000  8 Fe 2.55-2.59, 4 Mo 2.59
Mo: 0.0000 0.0000 0.0000  12 Fe 2.55-2.59

Summary:
As for the formation enthalpy at 0 K: 121.6 meV per atom. The final energy is -35.29 eV for the cell shown. Its space-group type is I4/mmm (139). As for the crystal system: tetragonal.


[3]
DFT (PBE) results for an optimized crystal structure of Fe3Mo.

Unit cell a=5.1006 b=5.1006 c=4.0895 alpha=90.00 beta=90.00 gamma=120.00
With the nearest neighbours (Å) after each atom.
Element x y z (fractional)
Fe: 0.1605 0.3210 0.2500  8 Fe 2.46-2.64, 4 Mo 2.55
Fe: 0.1605 0.8395 0.2500  8 Fe 2.46-2.64, 4 Mo 2.55
Fe: 0.6790 0.8395 0.2500  8 Fe 2.46-2.64, 4 Mo 2.55
Fe: 0.3210 0.1605 0.7500  8 Fe 2.46-2.64, 4 Mo 2.55
Fe: 0.8395 0.1605 0.7500  8 Fe 2.46-2.64, 4 Mo 2.55
Fe: 0.8395 0.6790 0.7500  8 Fe 2.46-2.64, 4 Mo 2.55
Mo: 0.6667 0.3333 0.2500  12 Fe 2.55
Mo: 0.3333 0.6667 0.7500  12 Fe 2.55

Summary:
As for the formation enthalpy at 0 K: 76.4 meV per atom. The final energy is -70.94 eV for the cell shown. Its space-group type is P6_3/mmc (194). As for the crystal system: hexagonal.


[4]
DFT (PBE) results for an optimized crystal structure of FeMo2N.

Unit cell a=4.9232 b=4.9232 c=13.9776 alpha=100.19 beta=100.19 gamma=60.60
With the nearest neighbours (Å) after each atom.
Element x y z (fractional)
Fe: 0.9331 0.5886 0.2490  4 Fe 2.46-2.49, 6 Mo 2.59-2.67
Fe: 0.8942 0.1058 0.2500  4 Fe 2.46-2.48, 6 Mo 2.61-2.71
Fe: 0.4114 0.0669 0.2510  4 Fe 2.46-2.49, 6 Mo 2.59-2.67
Fe: 0.5886 0.9331 0.7490  4 Fe 2.46-2.49, 6 Mo 2.59-2.67
Fe: 0.1058 0.8942 0.7500  4 Fe 2.46-2.48, 6 Mo 2.61-2.71
Fe: 0.0669 0.4114 0.7510  4 Fe 2.46-2.49, 6 Mo 2.59-2.67
Mo: 0.0255 0.2010 0.0901  3 N 2.05-2.11
Mo: 0.6944 0.8636 0.0906  3 N 2.04-2.13
Mo: 0.3804 0.5580 0.1583  1 Mo 2.51, 3 N 2.66-2.73, 3 Fe 2.66-2.71
Mo: 0.4420 0.6196 0.3417  1 Mo 2.51, 3 N 2.66-2.73, 3 Fe 2.66-2.71
Mo: 0.1364 0.3056 0.4094  3 N 2.04-2.13
Mo: 0.7990 0.9745 0.4099  3 N 2.05-2.11
Mo: 0.2010 0.0255 0.5901  3 N 2.05-2.11
Mo: 0.8636 0.6944 0.5906  3 N 2.04-2.13
Mo: 0.5580 0.3804 0.6583  1 Mo 2.51, 3 N 2.66-2.73, 3 Fe 2.66-2.71
Mo: 0.6196 0.4420 0.8417  1 Mo 2.51, 3 N 2.66-2.73, 3 Fe 2.66-2.71
Mo: 0.3056 0.1364 0.9094  3 N 2.04-2.13
Mo: 0.9745 0.7990 0.9099  3 N 2.05-2.11
N: 0.0000 0.5000 0.0000  4 Mo 2.05-2.07
N: 0.3398 0.8190 0.0019  4 Mo 2.04-2.13
N: 0.1810 0.6602 0.4981  4 Mo 2.04-2.13
N: 0.5000 0.0000 0.5000  4 Mo 2.05-2.07
N: 0.8190 0.3398 0.5019  4 Mo 2.04-2.13
N: 0.6602 0.1810 0.9981  4 Mo 2.04-2.13

Summary:
The final energy is -230.74 eV for the cell shown. Its space-group type is C2/c (15). As for the crystal system: monoclinic.


[5]
DFT (PBE) results for an optimized crystal structure of Fe3Mo3N.

Unit cell a=7.7858 b=7.7858 c=7.7858 alpha=60.00 beta=60.00 gamma=60.00
With the nearest neighbours (Å) after each atom.
Element x y z (fractional)
Fe: 0.6250 0.6250 0.1250  6 Fe 2.35
Fe: 0.4232 0.4232 0.4232  6 Fe 2.35-2.39
Fe: 0.7303 0.4232 0.4232  6 Fe 2.35-2.39
Fe: 0.4232 0.7303 0.4232  6 Fe 2.35-2.39
Fe: 0.8268 0.8268 0.5197  6 Fe 2.35-2.39
Fe: 0.6250 0.1250 0.6250  6 Fe 2.35
Fe: 0.1250 0.6250 0.6250  6 Fe 2.35
Fe: 0.6250 0.6250 0.6250  6 Fe 2.35
Fe: 0.4232 0.4232 0.7303  6 Fe 2.35-2.39
Fe: 0.8268 0.5197 0.8268  6 Fe 2.35-2.39
Fe: 0.5197 0.8268 0.8268  6 Fe 2.35-2.39
Fe: 0.8268 0.8268 0.8268  6 Fe 2.35-2.39
Mo: 0.4527 0.0473 0.0473  2 N 2.13
Mo: 0.0473 0.4527 0.0473  2 N 2.13
Mo: 0.4527 0.4527 0.0473  2 N 2.13
Mo: 0.7973 0.2027 0.2027  2 N 2.13
Mo: 0.2027 0.7973 0.2027  2 N 2.13
Mo: 0.7973 0.7973 0.2027  2 N 2.13
Mo: 0.4527 0.0473 0.4527  2 N 2.13
Mo: 0.0473 0.0473 0.4527  2 N 2.13
Mo: 0.0473 0.4527 0.4527  2 N 2.13
Mo: 0.7973 0.2027 0.7973  2 N 2.13
Mo: 0.2027 0.2027 0.7973  2 N 2.13
Mo: 0.2027 0.7973 0.7973  2 N 2.13
N: 0.1250 0.1250 0.1250  6 Mo 2.13
N: 0.6250 0.1250 0.1250  6 Mo 2.13
N: 0.1250 0.6250 0.1250  6 Mo 2.13
N: 0.1250 0.1250 0.6250  6 Mo 2.13

Summary:
The final energy is -267.12 eV for the cell shown. Its space-group type is Fd-3m (227). As for the crystal system: cubic.


[6]
DFT (PBE) results for an optimized crystal structure of FeMo3N2.

Unit cell a=2.7982 b=2.7982 c=20.5063 alpha=90.00 beta=90.00 gamma=120.00
With the nearest neighbours (Å) after each atom.
Element x y z (fractional)
Fe: 0.0000 0.0000 0.2500  6 Mo 2.75, 6 Fe 2.80
Fe: 0.0000 0.0000 0.7500  6 Mo 2.75, 6 Fe 2.80
Mo: 0.0000 0.0000 0.0000  6 N 2.20
Mo: 0.6667 0.3333 0.1418  3 N 2.14
Mo: 0.6667 0.3333 0.3582  3 N 2.14
Mo: 0.0000 0.0000 0.5000  6 N 2.20
Mo: 0.3333 0.6667 0.6418  3 N 2.14
Mo: 0.3333 0.6667 0.8582  3 N 2.14
N: 0.3333 0.6667 0.0731  6 Mo 2.14-2.20
N: 0.3333 0.6667 0.4269  6 Mo 2.14-2.20
N: 0.6667 0.3333 0.5731  6 Mo 2.14-2.20
N: 0.6667 0.3333 0.9269  6 Mo 2.14-2.20

Summary:
The final energy is -114.25 eV for the cell shown. Its space-group type is P6_3/mmc (194). As for the crystal system: hexagonal.


[7]
DFT (PBE) results for an optimized crystal structure of FeMo2N.

Unit cell a=2.8085 b=2.8085 c=14.4493 alpha=90.00 beta=90.00 gamma=120.00
With the nearest neighbours (Å) after each atom.
Element x y z (fractional)
Fe: 0.6667 0.3333 0.2500  6 Mo 2.73, 6 Fe 2.81
Fe: 0.3333 0.6667 0.7500  6 Mo 2.73, 6 Fe 2.81
Mo: 0.3333 0.6667 0.0976  3 N 2.15
Mo: 0.3333 0.6667 0.4024  3 N 2.15
Mo: 0.6667 0.3333 0.5976  3 N 2.15
Mo: 0.6667 0.3333 0.9024  3 N 2.15
N: 0.0000 0.0000 0.0000  6 Mo 2.15
N: 0.0000 0.0000 0.5000  6 Mo 2.15

Summary:
The final energy is -75.85 eV for the cell shown. Its space-group type is P6_3/mmc (194). As for the crystal system: hexagonal.


[8]
DFT (PBE) results for an optimized crystal structure of Nb4Fe3Mo2N3.

Unit cell a=5.1730 b=5.1730 c=13.5269 alpha=100.96 beta=100.96 gamma=59.63
With the nearest neighbours (Å) after each atom.
Element x y z (fractional)
Fe: 0.4153 0.0549 0.2493  4 Nb 2.54-2.55, 4 Fe 2.59-2.60
Fe: 0.8875 0.1125 0.2500  4 Nb 2.54-2.55, 4 Fe 2.59-2.60
Fe: 0.9451 0.5847 0.2507  4 Nb 2.54-2.55, 4 Fe 2.59-2.60
Fe: 0.0549 0.4153 0.7493  4 Nb 2.54-2.55, 4 Fe 2.59-2.60
Fe: 0.1125 0.8875 0.7500  4 Nb 2.54-2.55, 4 Fe 2.59-2.60
Fe: 0.5847 0.9451 0.7507  4 Nb 2.54-2.55, 4 Fe 2.59-2.60
Mo: 0.3825 0.5449 0.1289  3 N 2.31-2.45
Mo: 0.4551 0.6175 0.3711  3 N 2.31-2.45
Mo: 0.5449 0.3825 0.6289  3 N 2.31-2.45
Mo: 0.6175 0.4551 0.8711  3 N 2.31-2.45
N: 0.0000 0.5000 0.0000  4 Nb 2.11
N: 0.3507 0.7998 0.0001  4 Nb 2.12-2.24, 2 Mo 2.31-2.32
N: 0.2002 0.6493 0.4999  4 Nb 2.12-2.24, 2 Mo 2.31-2.32
N: 0.5000 0.0000 0.5000  4 Nb 2.11
N: 0.7998 0.3507 0.5001  4 Nb 2.12-2.24, 2 Mo 2.31-2.32
N: 0.6493 0.2002 0.9999  4 Nb 2.12-2.24, 2 Mo 2.31-2.32
Nb: 0.0269 0.2020 0.0940  3 N 2.11-2.24
Nb: 0.6982 0.8637 0.0941  3 N 2.11-2.24
Nb: 0.1363 0.3018 0.4059  3 N 2.11-2.24
Nb: 0.7980 0.9731 0.4060  3 N 2.11-2.24
Nb: 0.2020 0.0269 0.5940  3 N 2.11-2.24
Nb: 0.8637 0.6982 0.5941  3 N 2.11-2.24
Nb: 0.3018 0.1363 0.9059  3 N 2.11-2.24
Nb: 0.9731 0.7980 0.9060  3 N 2.11-2.24

Summary:
The final energy is -230.11 eV for the cell shown. Its space-group type is C2/c (15). As for the crystal system: monoclinic.


[9]
DFT (PBE) results for an optimized crystal structure of FeNiMo4N2.

Unit cell a=2.8091 b=2.8091 c=14.2599 alpha=90.00 beta=90.00 gamma=120.00
With the nearest neighbours (Å) after each atom.
Element x y z (fractional)
Fe: 0.0000 0.0000 0.0000  6 Mo 2.71, 6 Fe 2.81
Mo: 0.6667 0.3333 0.1527  3 N 2.14
Mo: 0.0000 0.0000 0.3504  3 N 2.15
Mo: 0.0000 0.0000 0.6496  3 N 2.15
Mo: 0.6667 0.3333 0.8473  3 N 2.14
N: 0.3333 0.6667 0.2510  6 Mo 2.14-2.15
N: 0.3333 0.6667 0.7490  6 Mo 2.14-2.15
Ni: 0.6667 0.3333 0.5000  6 Mo 2.68, 6 Ni 2.81

Summary:
The final energy is -73.38 eV for the cell shown. Its space-group type is P-6m2 (187). As for the crystal system: hexagonal.


[10]
DFT (PBE) results for an optimized crystal structure of FeMo4PbN2.

Unit cell a=3.1807 b=3.1807 c=13.0054 alpha=90.00 beta=90.00 gamma=120.00
With the nearest neighbours (Å) after each atom.
Element x y z (fractional)
Fe: 0.6667 0.3333 0.0000  6 Mo 2.67
Mo: 0.0000 0.0000 0.1489  3 N 2.17
Mo: 0.6667 0.3333 0.3115  3 N 2.07
Mo: 0.6667 0.3333 0.6885  3 N 2.07
Mo: 0.0000 0.0000 0.8511  3 N 2.17
N: 0.3333 0.6667 0.2378  6 Mo 2.07-2.17
N: 0.3333 0.6667 0.7622  6 Mo 2.07-2.17
Pb: 0.0000 0.0000 0.5000  6 Mo 3.06, 6 Pb 3.18

Summary:
The final energy is -70.40 eV for the cell shown. Its space-group type is P-6m2 (187). As for the crystal system: hexagonal.


| no. | total moment (μB per formula unit) |
| --- | --- |
| 1 | 2.3 |
| 2 | 4.2 |
| 3 | 1.2 |
| 4 | 0.7 |
| 5 | 0.4 |
| 6 | 2.3 |
| 7 | 2.1 |
| 8 | 3.1 |
| 9 | 2.0 |
| 10 | 2.3 |